# 1
# PBE Rb3Ac3ScO8, optimized geometry
data_Rb3Ac3ScO8
_chemical_formula_sum 'Rb9 Ac9 Sc3 O24'
_cell_length_a 7.4370
_cell_length_b 7.4370
_cell_length_c 20.0317
_cell_angle_alpha 90.00
_cell_angle_beta 90.00
_cell_angle_gamma 120.00
_symmetry_space_group_name_H-M 'R -3 m'
_symmetry_Int_Tables_number 166
_symmetry_space_group_name_Hall '-R 3 2"'
loop_
_atom_site_label
_atom_site_fract_x
_atom_site_fract_y
_atom_site_fract_z
Rb1 0.0000 0.5000 0.0000
Ac1 0.0000 0.5000 0.5000
Sc1 0.0000 0.0000 0.5000
O1 0.0000 0.0000 0.2295
O2 0.0354 0.5177 0.2224
# **Fermi-level density of states**: 39.4 states/eV/cell
# **M_tot**: 0.862 μB per formula unit
# **Raw formation energy**: -2.534 eV per atom

=====

# 2
# PBE TaSeBr2, optimized geometry
data_TaSeBr2
_chemical_formula_sum 'Ta2 Se2 Br4'
_cell_length_a 3.307
_cell_length_b 5.334
_cell_length_c 13.493
_cell_angle_alpha 90.00
_cell_angle_beta 90.00
_cell_angle_gamma 90.00
_symmetry_space_group_name_H-M 'I m m 2'
_symmetry_Int_Tables_number 44
loop_
_symmetry_equiv_pos_as_xyz
'x,y,z'
'-x,-y,z'
'-x,y,z'
'x,-y,z'
'x+1/2,y+1/2,z+1/2'
'-x+1/2,-y+1/2,z+1/2'
'-x+1/2,y+1/2,z+1/2'
'x+1/2,-y+1/2,z+1/2'
loop_
_atom_site_label
_atom_site_fract_x
_atom_site_fract_y
_atom_site_fract_z
Ta1 0.000 0.000 0.000
Se1 0.000 0.500 0.360
Br1 0.000 0.000 0.504
Br2 0.000 0.500 0.656
# **Fermi-level density of states**: 4.2 states/eV/cell
# **M_tot**: 0.485 μB per formula unit
# **Polymorph energy (0 for the lowest one)**: 406 meV per atom
# **Raw formation energy**: -0.271 eV per atom

=====

# 3
# PBE ZrSb5, optimized geometry
data_ZrSb5
_chemical_formula_sum 'Zr1 Sb5'
_cell_length_a 5.9476
_cell_length_b 5.9476
_cell_length_c 5.6873
_cell_angle_alpha 90.00
_cell_angle_beta 90.00
_cell_angle_gamma 120.00
_symmetry_space_group_name_H-M 'P 6/m m m'
_symmetry_Int_Tables_number 191
_symmetry_space_group_name_Hall '-P 6 2'
loop_
_atom_site_label
_atom_site_fract_x
_atom_site_fract_y
_atom_site_fract_z
Zr1 0.0000 0.0000 0.0000
Sb1 0.0000 0.5000 0.5000
Sb2 0.3333 0.6667 0.0000
# **Fermi-level density of states**: 4.5 states/eV/cell
# **M_tot**: 0.538 μB per formula unit
# **Polymorph energy (0 for the lowest one)**: 552 meV per atom
# **Raw formation energy**: 0.475 eV per atom

=====

# 4
# PBE Na3Pu2HfS6, optimized geometry
data_Na3Pu2HfS6
_chemical_formula_sum 'Na6 Pu4 Hf2 S12'
_cell_length_a 6.818
_cell_length_b 11.816
_cell_length_c 7.040
_cell_angle_alpha 90.00
_cell_angle_beta 108.95
_cell_angle_gamma 90.00
_symmetry_space_group_name_H-M 'C 1 2/m 1'
_symmetry_Int_Tables_number 12
loop_
_symmetry_equiv_pos_as_xyz
'x,y,z'
'-x,-y,-z'
'-x,y,-z'
'x,-y,z'
'x+1/2,y+1/2,z'
'-x+1/2,-y+1/2,-z'
'-x+1/2,y+1/2,-z'
'x+1/2,-y+1/2,z'
loop_
_atom_site_label
_atom_site_fract_x
_atom_site_fract_y
_atom_site_fract_z
Na1 0.000 0.000 0.000
Na2 0.000 0.332 0.000
Pu1 0.000 0.167 0.500
Hf1 0.000 0.500 0.500
S1 0.231 0.344 0.725
S2 0.238 0.500 0.278
# **Fermi-level density of states**: 37.2 states/eV/cell
# **M_tot**: 11.001 μB per formula unit
# **Raw formation energy**: -1.532 eV per atom

=====

# 5
# PBE V2NiIr, optimized geometry
data_V2NiIr
_chemical_formula_sum 'V8 Ni4 Ir4'
_cell_length_a 2.700
_cell_length_b 9.822
_cell_length_c 7.875
_cell_angle_alpha 90.00
_cell_angle_beta 90.00
_cell_angle_gamma 90.00
_symmetry_space_group_name_H-M 'C m c m'
_symmetry_Int_Tables_number 63
_symmetry_space_group_name_Hall '-C 2c 2'
loop_
_atom_site_label
_atom_site_fract_x
_atom_site_fract_y
_atom_site_fract_z
V1 0.000 0.126 0.023
Ni1 0.000 0.256 0.750
Ir1 0.000 0.476 0.250
# **Fermi-level density of states**: 25.8 states/eV/cell
# **Calculated formation energy**: -0.242 eV per atom
# **M_tot**: 0.000 μB per formula unit

=====

# 6
# PBE PmPr8Y2, optimized geometry
data_PmPr8Y2
_chemical_formula_sum 'Pm2 Pr16 Y4'
_cell_length_a 18.766
_cell_length_b 5.217
_cell_length_c 8.241
_cell_angle_alpha 90.00
_cell_angle_beta 105.31
_cell_angle_gamma 90.00
_symmetry_space_group_name_H-M 'C 1 2/m 1'
_symmetry_Int_Tables_number 12
loop_
_symmetry_equiv_pos_as_xyz
'x,y,z'
'-x,-y,-z'
'-x,y,-z'
'x,-y,z'
'x+1/2,y+1/2,z'
'-x+1/2,-y+1/2,-z'
'-x+1/2,y+1/2,-z'
'x+1/2,-y+1/2,z'
loop_
_atom_site_label
_atom_site_fract_x
_atom_site_fract_y
_atom_site_fract_z
Pm1 0.000 0.000 0.000
Pr1 0.046 0.500 0.728
Pr2 0.092 0.000 0.455
Pr3 0.137 0.500 0.185
Pr4 0.182 0.000 0.910
Y1 0.227 0.500 0.635
# **Fermi-level density of states**: 35.6 states/eV/cell
# **Calculated formation energy**: 0.014 eV per atom
# **M_tot**: 0.000 μB per formula unit
# **Polymorph energy (0 for the lowest one)**: 0 meV per atom

=====

# 7
# PBE Dy2PPt, optimized geometry
data_Dy2PPt
_chemical_formula_sum 'Dy6 P3 Pt3'
_cell_length_a 3.7723
_cell_length_b 3.7723
_cell_length_c 25.6012
_cell_angle_alpha 90.00
_cell_angle_beta 90.00
_cell_angle_gamma 120.00
_symmetry_space_group_name_H-M 'R -3 m'
_symmetry_Int_Tables_number 166
_symmetry_space_group_name_Hall '-R 3 2"'
loop_
_atom_site_label
_atom_site_fract_x
_atom_site_fract_y
_atom_site_fract_z
Dy1 0.0000 0.0000 0.1031
P1 0.0000 0.0000 0.5000
Pt1 0.0000 0.0000 0.0000
# **Fermi-level density of states**: 9.4 states/eV/cell
# **Calculated formation energy**: -0.535 eV per atom
# **M_tot**: 0.000 μB per formula unit

=====

# 8
# PBE PrUMo, optimized geometry
data_PrUMo
_chemical_formula_sum 'Pr4 U4 Mo4'
_cell_length_a 7.859
_cell_length_b 3.571
_cell_length_c 12.148
_cell_angle_alpha 90.00
_cell_angle_beta 103.03
_cell_angle_gamma 90.00
_symmetry_space_group_name_H-M 'C 1 2/m 1'
_symmetry_Int_Tables_number 12
loop_
_symmetry_equiv_pos_as_xyz
'x,y,z'
'-x,-y,-z'
'-x,y,-z'
'x,-y,z'
'x+1/2,y+1/2,z'
'-x+1/2,-y+1/2,-z'
'-x+1/2,y+1/2,-z'
'x+1/2,-y+1/2,z'
loop_
_atom_site_label
_atom_site_fract_x
_atom_site_fract_y
_atom_site_fract_z
Pr1 0.188 0.000 0.126
U1 0.019 0.500 0.339
Mo1 0.248 0.500 0.595
# **Fermi-level density of states**: 17.8 states/eV/cell
# **Calculated formation energy**: 0.671 eV per atom
# **M_tot**: 0.000 μB per formula unit

=====

# 9
# PBE Th3ReN6, optimized geometry
data_Th3ReN6
_chemical_formula_sum 'Th18 Re6 N36'
_cell_length_a 10.0096
_cell_length_b 10.0096
_cell_length_c 10.8471
_cell_angle_alpha 90.00
_cell_angle_beta 90.00
_cell_angle_gamma 120.00
_symmetry_space_group_name_H-M 'R -3'
_symmetry_Int_Tables_number 148
_symmetry_space_group_name_Hall '-R 3'
loop_
_atom_site_label
_atom_site_fract_x
_atom_site_fract_y
_atom_site_fract_z
Th1 0.0447 0.2690 0.1902
Re1 0.0000 0.0000 0.0000
Re2 0.0000 0.0000 0.5000
N1 0.0283 0.1837 0.8935
N2 0.0338 0.1913 0.4023
# **Fermi-level density of states**: 24.0 states/eV/cell
# **M_tot**: 0.000 μB per formula unit
# **Polymorph energy (0 for the lowest one)**: 171 meV per atom
# **Raw formation energy**: -1.080 eV per atom

=====

# 10
# PBE TlAs2Ru2, optimized geometry
data_TlAs2Ru2
_chemical_formula_sum 'Tl2 As4 Ru4'
_cell_length_a 4.334
_cell_length_b 4.334
_cell_length_c 10.173
_cell_angle_alpha 90.00
_cell_angle_beta 90.00
_cell_angle_gamma 90.00
_symmetry_space_group_name_H-M 'I 4/m m m'
_symmetry_Int_Tables_number 139
_symmetry_space_group_name_Hall '-I 4 2'
loop_
_atom_site_label
_atom_site_fract_x
_atom_site_fract_y
_atom_site_fract_z
Tl1 0.000 0.000 0.000
As1 0.000 0.000 0.362
Ru1 0.000 0.500 0.250
# **Fermi-level density of states**: 4.7 states/eV/cell
# **Calculated formation energy**: -0.081 eV per atom
# **M_tot**: 0.000 μB per formula unit
# **Polymorph energy (0 for the lowest one)**: 0 meV per atom

=====

# 11
# PBE Zn2Ga4Ag, optimized geometry
data_Zn2Ga4Ag
_chemical_formula_sum 'Zn4 Ga8 Ag2'
_cell_length_a 6.026
_cell_length_b 6.763
_cell_length_c 6.958
_cell_angle_alpha 75.97
_cell_angle_beta 69.11
_cell_angle_gamma 89.06
_symmetry_space_group_name_H-M 'P 1'
_symmetry_Int_Tables_number 1
loop_
_symmetry_equiv_pos_as_xyz
'x,y,z'
loop_
_atom_site_label
_atom_site_fract_x
_atom_site_fract_y
_atom_site_fract_z
Zn1 0.000 0.000 0.000
Zn2 0.028 0.620 0.548
Zn3 0.474 0.511 0.485
Zn4 0.948 0.962 0.644
Ga1 0.165 0.300 0.390
Ga2 0.272 0.322 0.972
Ga3 0.355 0.900 0.198
Ga4 0.468 0.110 0.662
Ga5 0.646 0.641 0.944
Ga6 0.708 0.860 0.419
Ga7 0.781 0.279 0.786
Ga8 0.938 0.584 0.194
Ag1 0.269 0.725 0.790
Ag2 0.656 0.249 0.209
# **Fermi-level density of states**: 3.7 states/eV/cell
# **Calculated formation energy**: 0.038 eV per atom
# **M_tot**: 0.000 μB per formula unit
# **Polymorph energy (0 for the lowest one)**: 0 meV per atom

=====

# 12
# PBE Hf2GaPd4, optimized geometry
data_Hf2GaPd4
_chemical_formula_sum 'Hf4 Ga2 Pd8'
_cell_length_a 6.520
_cell_length_b 5.283
_cell_length_c 7.652
_cell_angle_alpha 90.00
_cell_angle_beta 112.97
_cell_angle_gamma 90.00
_symmetry_space_group_name_H-M 'P 1 21/m 1'
_symmetry_Int_Tables_number 11
loop_
_symmetry_equiv_pos_as_xyz
'x,y,z'
'-x,-y,-z'
'-x,y+1/2,-z'
'x,-y+1/2,z'
loop_
_atom_site_label
_atom_site_fract_x
_atom_site_fract_y
_atom_site_fract_z
Hf1 0.179 0.250 0.066
Hf2 0.284 0.250 0.522
Ga1 0.249 0.750 0.301
Pd1 0.097 0.507 0.746
Pd2 0.423 0.750 0.671
Pd3 0.446 0.750 0.071
# **Fermi-level density of states**: 8.3 states/eV/cell
# **Calculated formation energy**: -0.612 eV per atom
# **M_tot**: 0.000 μB per formula unit

=====

# 13
# PBE BaSeBr2O, optimized geometry
data_BaSeBr2O
_chemical_formula_sum 'Ba1 Se1 Br2 O1'
_cell_length_a 6.271
_cell_length_b 6.271
_cell_length_c 7.006
_cell_angle_alpha 90.00
_cell_angle_beta 90.00
_cell_angle_gamma 90.00
_symmetry_space_group_name_H-M 'P 4/m m m'
_symmetry_Int_Tables_number 123
_symmetry_space_group_name_Hall '-P 4 2'
loop_
_atom_site_label
_atom_site_fract_x
_atom_site_fract_y
_atom_site_fract_z
Ba1 0.000 0.000 0.000
Se1 0.000 0.000 0.500
Br1 0.000 0.500 0.000
O1 0.500 0.500 0.500
# **Fermi-level density of states**: 10.2 states/eV/cell
# **M_tot**: 2.483 μB per formula unit
# **Polymorph energy (0 for the lowest one)**: 755 meV per atom
# **Raw formation energy**: 0.032 eV per atom

=====

# 14
# PBE SrCaTbNd, optimized geometry
data_SrCaTbNd
_chemical_formula_sum 'Sr4 Ca4 Tb4 Nd4'
_cell_length_a 8.534
_cell_length_b 8.534
_cell_length_c 8.534
_cell_angle_alpha 90.00
_cell_angle_beta 90.00
_cell_angle_gamma 90.00
_symmetry_space_group_name_H-M 'F -4 3 m'
_symmetry_Int_Tables_number 216
_symmetry_space_group_name_Hall 'F -4 2 3'
loop_
_atom_site_label
_atom_site_fract_x
_atom_site_fract_y
_atom_site_fract_z
Sr1 0.000 0.000 0.000
Ca1 0.250 0.250 0.250
Tb1 0.250 0.250 0.750
Nd1 0.000 0.000 0.500
# **Fermi-level density of states**: 19.6 states/eV/cell
# **Calculated formation energy**: 0.174 eV per atom
# **M_tot**: 0.000 μB per formula unit

=====

# 15
# PBE Nd2Ag2GeO6, optimized geometry
data_Nd2Ag2GeO6
_chemical_formula_sum 'Nd4 Ag4 Ge2 O12'
_cell_length_a 5.921
_cell_length_b 10.521
_cell_length_c 6.322
_cell_angle_alpha 90.00
_cell_angle_beta 97.68
_cell_angle_gamma 90.00
_symmetry_space_group_name_H-M 'C 1 2/m 1'
_symmetry_Int_Tables_number 12
loop_
_symmetry_equiv_pos_as_xyz
'x,y,z'
'-x,-y,-z'
'-x,y,-z'
'x,-y,z'
'x+1/2,y+1/2,z'
'-x+1/2,-y+1/2,-z'
'-x+1/2,y+1/2,-z'
'x+1/2,-y+1/2,z'
loop_
_atom_site_label
_atom_site_fract_x
_atom_site_fract_y
_atom_site_fract_z
Nd1 0.000 0.163 0.000
Ag1 0.000 0.356 0.500
Ge1 0.000 0.500 0.000
O1 0.109 0.356 0.829
O2 0.201 0.000 0.854
# **Fermi-level density of states**: 0.0 states/eV/cell
# **M_tot**: 0.000 μB per formula unit
# **Raw formation energy**: -1.884 eV per atom

=====

# 16
# PBE Ti2CoAu, optimized geometry
data_Ti2CoAu
_chemical_formula_sum 'Ti8 Co4 Au4'
_cell_length_a 6.267
_cell_length_b 6.267
_cell_length_c 6.267
_cell_angle_alpha 90.00
_cell_angle_beta 90.00
_cell_angle_gamma 90.00
_symmetry_space_group_name_H-M 'F m -3 m'
_symmetry_Int_Tables_number 225
_symmetry_space_group_name_Hall '-F 4 2 3'
loop_
_atom_site_label
_atom_site_fract_x
_atom_site_fract_y
_atom_site_fract_z
Ti1 0.250 0.250 0.250
Co1 0.000 0.000 0.000
Au1 0.000 0.000 0.500
# **Fermi-level density of states**: 24.5 states/eV/cell
# **Calculated formation energy**: -0.219 eV per atom
# **M_tot**: 0.002 μB per formula unit
# **Polymorph energy (0 for the lowest one)**: 42 meV per atom

=====

# 17
# PBE InHgSe2, optimized geometry
data_InHgSe2
_chemical_formula_sum 'In2 Hg2 Se4'
_cell_length_a 4.154
_cell_length_b 4.213
_cell_length_c 12.226
_cell_angle_alpha 90.00
_cell_angle_beta 90.00
_cell_angle_gamma 90.00
_symmetry_space_group_name_H-M 'C m m 2'
_symmetry_Int_Tables_number 35
loop_
_symmetry_equiv_pos_as_xyz
'x,y,z'
'-x,-y,z'
'-x,y,z'
'x,-y,z'
'x+1/2,y+1/2,z'
'-x+1/2,-y+1/2,z'
'-x+1/2,y+1/2,z'
'x+1/2,-y+1/2,z'
loop_
_atom_site_label
_atom_site_fract_x
_atom_site_fract_y
_atom_site_fract_z
In1 0.000 0.000 0.000
Hg1 0.000 0.500 0.260
Se1 0.000 0.000 0.495
Se2 0.000 0.500 0.803
# **Fermi-level density of states**: 3.6 states/eV/cell
# **M_tot**: 0.000 μB per formula unit
# **Raw formation energy**: 0.185 eV per atom